# KRbCuCl3 GGA-PBE optimized geometry
# uncorrected formation energy: -8.30 eV/f.u.
# spin magnetization: 0.00 μB per formula unit
# volume: 30.82 Å³/atom
data_KRbCuCl3
_cell_length_a 16.0162
_cell_length_b 5.4317
_cell_length_c 8.8398
_cell_angle_alpha 90.00
_cell_angle_beta 105.90
_cell_angle_gamma 90.00
_space_group_name_H-M_alt 'C 1 2/m 1'
_space_group_IT_number 12
_space_group_name_Hall '-C 2y'
loop_
_atom_site_label
_atom_site_fract_x
_atom_site_fract_y
_atom_site_fract_z
_atom_site_occupancy
K1 0.1435 0.0000 0.0710 1
Rb1 0.1436 0.0000 0.5717 1
Cu1 0.0023 0.5000 0.7620 1
Cl1 0.0009 0.0000 0.7618 1
Cl2 0.1434 0.5000 0.3139 1
Cl3 0.1483 0.5000 0.8309 1